Record 1
The following is a GGA-PBE calculation of a geometry-optimized Rb2BaSrSn structure, from Alexandria.

Lattice parameters (Å, degrees): 7.1792 7.1792 7.2773 90.00 90.00 90.00
Fractional coordinates of all 5 atoms:
Rb1 0.0000 0.5000 0.0000
Rb2 0.5000 0.0000 0.0000
Ba1 0.0000 0.0000 0.5000
Sr1 0.0000 0.0000 0.0000
Sn1 0.5000 0.5000 0.5000

Summary:
space-group type	P4/mmm (123)
density	2.28	Mg/m³
total DFT energy (no corrections)	-5.67	eV for the cell shown

Record 2
The following is a GGA-PBE calculation of a geometry-optimized Rb2BaSn2Te4 structure, from Alexandria.

Lattice parameters (Å, degrees): 10.0285 10.0285 9.5180 117.27 117.27 26.38
Fractional coordinates of all 9 atoms:
Rb1 0.1180 0.1180 0.0477
Rb2 0.8820 0.8820 0.9523
Ba1 0.0000 0.0000 0.5000
Sn1 0.2992 0.2992 0.4523
Sn2 0.7008 0.7008 0.5477
Te1 0.1980 0.1980 0.7563
Te2 0.4529 0.4529 0.7218
Te3 0.5471 0.5471 0.2782
Te4 0.8020 0.8020 0.2437

Summary:
space-group type	C2/m (12)
ΔE_f (raw)	-0.886	eV per atom
density	4.67	Mg/m³
total DFT energy (no corrections)	-32.41	eV for the cell shown

Record 3
The following is a GGA-PBE calculation of a geometry-optimized Rb2BaSnTe4 structure, from Alexandria.

Lattice parameters (Å, degrees): 9.8955 9.8955 9.8955 124.07 116.45 89.67
Fractional coordinates of all 16 atoms:
Rb1 0.0000 0.0000 0.0000
Rb2 0.5000 0.0000 0.0000
Rb3 0.5000 0.0000 0.5000
Rb4 0.5000 0.5000 0.5000
Ba1 0.0000 0.5000 0.5000
Ba2 0.5000 0.5000 0.0000
Sn1 0.0000 0.0000 0.5000
Sn2 0.0000 0.5000 0.0000
Te1 0.1998 0.7480 0.4517
Te2 0.2037 0.2520 0.9517
Te3 0.2153 0.2218 0.5065
Te4 0.2153 0.7088 0.9935
Te5 0.7847 0.2912 0.0065
Te6 0.7847 0.7782 0.4935
Te7 0.7963 0.7480 0.0483
Te8 0.8002 0.2520 0.5483

Summary:
space-group type	Imma (74)
ΔE_f (raw)	-0.813	eV per atom
density	4.59	Mg/m³
total DFT energy (no corrections)	-53.86	eV for the cell shown

Record 4
The following is a GGA-PBE calculation of a geometry-optimized RbBa2SnTe4 structure, from Alexandria.

Lattice parameters (Å, degrees): 9.8185 9.8185 9.8185 120.06 119.84 90.08
Fractional coordinates of all 16 atoms:
Rb1 0.0000 0.0000 0.0000
Rb2 0.5000 0.0000 0.5000
Ba1 0.0000 0.5000 0.5000
Ba2 0.5000 0.0000 0.0000
Ba3 0.5000 0.5000 0.0000
Ba4 0.5000 0.5000 0.5000
Sn1 0.0000 0.0000 0.5000
Sn2 0.0000 0.5000 0.0000
Te1 0.2270 0.7467 0.4803
Te2 0.2336 0.2533 0.9803
Te3 0.2354 0.2439 0.5085
Te4 0.2354 0.7269 0.9915
Te5 0.7646 0.2731 0.0085
Te6 0.7646 0.7561 0.4915
Te7 0.7664 0.7467 0.0197
Te8 0.7730 0.2533 0.5197

Summary:
space-group type	Imma (74)
ΔE_f (raw)	-1.022	eV per atom
density	4.91	Mg/m³
total DFT energy (no corrections)	-59.12	eV for the cell shown

Record 5
The following is a GGA-PBE calculation of a geometry-optimized RbBaTlSn structure, from Alexandria.

Lattice parameters (Å, degrees): 6.0858 6.0858 6.0858 60.00 60.00 60.00
Fractional coordinates of all 4 atoms:
Rb1 0.0000 0.0000 0.0000
Ba1 0.5000 0.5000 0.5000
Tl1 0.7500 0.7500 0.7500
Sn1 0.2500 0.2500 0.2500

Summary:
space-group type	F-43m (216)
density	5.69	Mg/m³
total DFT energy (no corrections)	-10.20	eV for the cell shown

Record 6
The following is a GGA-PBE calculation of a geometry-optimized RbBaZnSn2 structure, from Alexandria.

Lattice parameters (Å, degrees): 5.5144 5.5144 6.0104 90.00 90.00 90.00
Fractional coordinates of all 5 atoms:
Rb1 0.0000 0.0000 0.0000
Ba1 0.5000 0.5000 0.0000
Zn1 0.5000 0.5000 0.5000
Sn1 0.0000 0.5000 0.5000
Sn2 0.5000 0.0000 0.5000

Summary:
space-group type	P4/mmm (123)
density	4.78	Mg/m³
total DFT energy (no corrections)	-12.42	eV for the cell shown

What did the second record say?
The following is a GGA-PBE calculation of a geometry-optimized Rb2BaSn2Te4 structure, from Alexandria.

Lattice parameters (Å, degrees): 10.0285 10.0285 9.5180 117.27 117.27 26.38
Fractional coordinates of all 9 atoms:
Rb1 0.1180 0.1180 0.0477
Rb2 0.8820 0.8820 0.9523
Ba1 0.0000 0.0000 0.5000
Sn1 0.2992 0.2992 0.4523
Sn2 0.7008 0.7008 0.5477
Te1 0.1980 0.1980 0.7563
Te2 0.4529 0.4529 0.7218
Te3 0.5471 0.5471 0.2782
Te4 0.8020 0.8020 0.2437

Summary:
space-group type	C2/m (12)
ΔE_f (raw)	-0.886	eV per atom
density	4.67	Mg/m³
total DFT energy (no corrections)	-32.41	eV for the cell shown

> The highest total DFT energy (no corrections) belongs to which entry?

Rb2BaSrSn